This record from Alexandria describes a relaxed Pr12Tl2Sn5 crystal. The functional is PBE.

- DFT formation energy (eV per atom) = -0.3265

abc: 7.172 9.847 10.688
angles: 103.35 90.00 111.36
Positions (direct):
Pr 0.906 0.812 0.197
Pr 0.078 0.644 0.906
Pr 0.565 0.644 0.906
Pr 0.112 0.704 0.444
Pr 0.591 0.704 0.444
Pr 0.488 0.976 0.744
Pr 0.512 0.024 0.256
Pr 0.888 0.296 0.556
Pr 0.409 0.296 0.556
Pr 0.922 0.356 0.094
Pr 0.435 0.356 0.094
Pr 0.094 0.188 0.803
Tl 0.781 0.000 0.000
Tl 0.219 0.000 0.000
Sn 0.296 0.592 0.652
Sn 0.332 0.665 0.178
Sn 0.000 0.000 0.500
Sn 0.668 0.335 0.822
Sn 0.704 0.408 0.348